1.
The following is a DFT calculation (PBE) of crystalline YTaAl at its relaxed geometry.

Cell lengths 6.5920, 6.5920, 6.5920 Å; angles 90.00, 90.00, 90.00 degrees
With the nearest neighbours (Å) after each atom.
Positions (direct):
Y  0.0000  0.0000  0.0000  4 Al 2.85
Y  0.0000  0.5000  0.5000  4 Al 2.85
Y  0.5000  0.0000  0.5000  4 Al 2.85
Y  0.5000  0.5000  0.0000  4 Al 2.85
Ta  0.0000  0.0000  0.5000  4 Al 2.85
Ta  0.0000  0.5000  0.0000  4 Al 2.85
Ta  0.5000  0.0000  0.0000  4 Al 2.85
Ta  0.5000  0.5000  0.5000  4 Al 2.85
Al  0.2500  0.2500  0.7500  4 Ta 2.85, 4 Y 2.85
Al  0.2500  0.7500  0.2500  4 Ta 2.85, 4 Y 2.85
Al  0.7500  0.2500  0.2500  4 Ta 2.85, 4 Y 2.85
Al  0.7500  0.7500  0.7500  4 Ta 2.85, 4 Y 2.85

The value obtained for the offset from the most stable computed form is 690 meV per atom. The value obtained for the formation energy is 0.477 eV per atom.

=====

2.
The following is a DFT calculation (PBE) of crystalline MnInW at its relaxed geometry.

Cell lengths 6.0318, 6.0318, 6.0318 Å; angles 90.00, 90.00, 90.00 degrees
With the nearest neighbours (Å) after each atom.
Positions (direct):
Mn  0.0000  0.0000  0.0000  4 W 2.61, 4 In 2.61
Mn  0.0000  0.5000  0.5000  4 W 2.61, 4 In 2.61
Mn  0.5000  0.0000  0.5000  4 W 2.61, 4 In 2.61
Mn  0.5000  0.5000  0.0000  4 W 2.61, 4 In 2.61
In  0.2500  0.2500  0.7500  4 Mn 2.61
In  0.2500  0.7500  0.2500  4 Mn 2.61
In  0.7500  0.2500  0.2500  4 Mn 2.61
In  0.7500  0.7500  0.7500  4 Mn 2.61
W  0.2500  0.2500  0.2500  4 Mn 2.61
W  0.2500  0.7500  0.7500  4 Mn 2.61
W  0.7500  0.2500  0.7500  4 Mn 2.61
W  0.7500  0.7500  0.2500  4 Mn 2.61

The value obtained for the offset from the most stable computed form is 315 meV per atom. The value obtained for the formation energy is 0.638 eV per atom.

=====

3.
The following is a DFT calculation (PBE) of crystalline BaOsRu at its relaxed geometry.

Cell lengths 7.8913, 4.3621, 8.6631 Å; angles 90.00, 90.00, 90.00 degrees
With the nearest neighbours (Å) after each atom.
Positions (direct):
Ba  0.0021  0.2500  0.1803  6 Os 3.31-3.65, 6 Ru 3.32-3.64
Ba  0.4979  0.7500  0.6803  6 Os 3.31-3.65, 6 Ru 3.32-3.64
Ba  0.5021  0.2500  0.3197  6 Os 3.31-3.65, 6 Ru 3.32-3.64
Ba  0.9979  0.7500  0.8197  6 Os 3.31-3.65, 6 Ru 3.32-3.64
Os  0.1521  0.7500  0.4331  3 Ru 2.39-2.47
Os  0.3479  0.2500  0.9331  3 Ru 2.39-2.47
Os  0.6521  0.7500  0.0669  3 Ru 2.39-2.47
Os  0.8479  0.2500  0.5669  3 Ru 2.39-2.47
Ru  0.1511  0.2500  0.5658  3 Os 2.39-2.47
Ru  0.3489  0.7500  0.0658  3 Os 2.39-2.47
Ru  0.6511  0.2500  0.9342  3 Os 2.39-2.47
Ru  0.8489  0.7500  0.4342  3 Os 2.39-2.47

The value obtained for the offset from the most stable computed form is 172 meV per atom. The value obtained for the formation energy is 0.505 eV per atom.

=====

4.
The following is a DFT calculation (PBE) of crystalline AcTb10Pr4 at its relaxed geometry.

Cell lengths 9.7207, 9.7207, 9.7207 Å; angles 96.90, 96.90, 139.44 degrees
With the nearest neighbours (Å) after each atom.
Positions (direct):
Ac  0.0000  0.0000  0.0000  8 Pr 4.17, 8 Tb 4.50
Tb  0.0451  0.8805  0.4264  4 Tb 3.13-3.37, 3 Pr 3.41-3.47
Tb  0.1195  0.5460  0.1646  4 Tb 3.13-3.37, 3 Pr 3.41-3.47
Tb  0.2500  0.7500  0.5000  6 Tb 3.13-3.37
Tb  0.3813  0.9549  0.8354  4 Tb 3.13-3.37, 3 Pr 3.41-3.47
Tb  0.4540  0.6187  0.5736  4 Tb 3.13-3.37, 3 Pr 3.41-3.47
Tb  0.5460  0.3813  0.4264  4 Tb 3.13-3.37, 3 Pr 3.41-3.47
Tb  0.6187  0.0451  0.1646  4 Tb 3.13-3.37, 3 Pr 3.41-3.47
Tb  0.7500  0.2500  0.5000  6 Tb 3.13-3.37
Tb  0.8805  0.4540  0.8354  4 Tb 3.13-3.37, 3 Pr 3.41-3.47
Tb  0.9549  0.1195  0.5736  4 Tb 3.13-3.37, 3 Pr 3.41-3.47
Pr  0.3213  0.5670  0.8883  6 Tb 3.41-3.47, 2 Pr 3.48
Pr  0.4330  0.3213  0.7543  6 Tb 3.41-3.47, 2 Pr 3.48
Pr  0.5670  0.6787  0.2457  6 Tb 3.41-3.47, 2 Pr 3.48
Pr  0.6787  0.4330  0.1117  6 Tb 3.41-3.47, 2 Pr 3.48

The value obtained for the formation energy is 0.511 eV per atom.

=====

5.
The following is a DFT calculation (PBE) of crystalline Cr2B2W at its relaxed geometry.

Cell lengths 5.8386, 5.8386, 2.9295 Å; angles 90.00, 90.00, 90.00 degrees
With the nearest neighbours (Å) after each atom.
Positions (direct):
Cr  0.1692  0.3308  0.0000  6 B 2.23-2.32
Cr  0.3308  0.8308  0.0000  6 B 2.23-2.32
Cr  0.6692  0.1692  0.0000  6 B 2.23-2.32
Cr  0.8308  0.6692  0.0000  6 B 2.23-2.32
B  0.1129  0.6129  0.5000  1 B 1.86
B  0.3871  0.1129  0.5000  1 B 1.86
B  0.6129  0.8871  0.5000  1 B 1.86
B  0.8871  0.3871  0.5000  1 B 1.86
W  0.0000  0.0000  0.5000  4 B 2.35, 8 Cr 2.62
W  0.5000  0.5000  0.5000  4 B 2.35, 8 Cr 2.62

The value obtained for the formation energy is -0.301 eV per atom.

=====

6.
The following is a DFT calculation (PBE) of crystalline La2ZnRe at its relaxed geometry.

Cell lengths 3.5867, 3.5867, 7.8335 Å; angles 90.00, 90.00, 90.00 degrees
With the nearest neighbours (Å) after each atom.
Positions (direct):
La  0.0000  0.0000  0.2221  4 Re 3.08, 4 Zn 3.34
La  0.0000  0.0000  0.7779  4 Re 3.08, 4 Zn 3.34
Zn  0.5000  0.5000  0.5000  8 La 3.34, 4 Zn 3.59
Re  0.5000  0.5000  0.0000  8 La 3.08

The value obtained for the formation energy is 0.100 eV per atom.

=====

7.
The following is a DFT calculation (PBE) of crystalline TbHo2Mg3 at its relaxed geometry.

Cell lengths 3.7867, 3.7867, 11.3196 Å; angles 90.00, 90.00, 90.00 degrees
With the nearest neighbours (Å) after each atom.
Positions (direct):
Tb  0.0000  0.0000  0.0000  8 Mg 3.29
Ho  0.0000  0.0000  0.3343  8 Mg 3.27
Ho  0.0000  0.0000  0.6657  8 Mg 3.27
Mg  0.5000  0.5000  0.1688  4 Ho 3.27, 4 Tb 3.29
Mg  0.5000  0.5000  0.5000  8 Ho 3.27
Mg  0.5000  0.5000  0.8312  4 Ho 3.27, 4 Tb 3.29

The value obtained for the formation energy is -0.077 eV per atom.

=====

8.
The following is a DFT calculation (PBE) of crystalline Si2GePdPt at its relaxed geometry.

Cell lengths 4.4594, 4.4594, 5.2074 Å; angles 90.00, 90.00, 90.00 degrees
With the nearest neighbours (Å) after each atom.
Positions (direct):
Si  0.0000  0.5000  0.0000  2 Pd 2.23
Si  0.5000  0.0000  0.0000  2 Pd 2.23
Ge  0.0000  0.0000  0.5000  4 Pt 3.15, 8 Si 3.43
Pd  0.5000  0.5000  0.0000  4 Si 2.23
Pt  0.5000  0.5000  0.5000  2 Pd 2.60

The uncorrected formation energy comes out at 282.4 kJ/mol of formula units.

=====

Please write out number 1 again, unchanged.
The following is a DFT calculation (PBE) of crystalline YTaAl at its relaxed geometry.

Cell lengths 6.5920, 6.5920, 6.5920 Å; angles 90.00, 90.00, 90.00 degrees
With the nearest neighbours (Å) after each atom.
Positions (direct):
Y  0.0000  0.0000  0.0000  4 Al 2.85
Y  0.0000  0.5000  0.5000  4 Al 2.85
Y  0.5000  0.0000  0.5000  4 Al 2.85
Y  0.5000  0.5000  0.0000  4 Al 2.85
Ta  0.0000  0.0000  0.5000  4 Al 2.85
Ta  0.0000  0.5000  0.0000  4 Al 2.85
Ta  0.5000  0.0000  0.0000  4 Al 2.85
Ta  0.5000  0.5000  0.5000  4 Al 2.85
Al  0.2500  0.2500  0.7500  4 Ta 2.85, 4 Y 2.85
Al  0.2500  0.7500  0.2500  4 Ta 2.85, 4 Y 2.85
Al  0.7500  0.2500  0.2500  4 Ta 2.85, 4 Y 2.85
Al  0.7500  0.7500  0.7500  4 Ta 2.85, 4 Y 2.85

The value obtained for the offset from the most stable computed form is 690 meV per atom. The value obtained for the formation energy is 0.477 eV per atom.